No. 1
Entry from Alexandria: a relaxed Cs2SbSe6 crystal (GGA-PBE).

The structure belongs to space group C2/m (No. 12); the cell edges are 12.1120, 9.2927 and 5.6163 Å and the angles 90.00°, 100.71° and 90.00°. Symmetry generates all atoms from Cs at (0.1846, 0.0000, 0.4140), Sb at (0.0000, 0.5000, 0.0000), Se at (0.0000, 0.3258, 0.5000) and Se at (0.1437, 0.2596, 0.8918).

As for the formation energy (no corrections): -3.76 eV/f.u. For the magnetic moment, the calculation gives 0.0 μB/f.u. The value obtained for the volume is 34.51 A^3/atom. The density of states at the Fermi level is 6.98 states/eV/cell.

---

No. 2
Entry from Alexandria: a relaxed CsSb2Se2 crystal (GGA-PBE).

The structure belongs to space group C2/c (No. 15); the cell edges are 7.8588, 17.8242 and 6.9490 Å and the angles 90.00°, 121.21° and 90.00°. Symmetry generates all atoms from Cs at (0.0000, 0.1770, 0.2500), Sb at (0.1532, 0.3959, 0.9750), Se at (0.0000, 0.2676, 0.7500) and Se at (0.0000, 0.4074, 0.2500).

As for the formation energy (no corrections): -1.70 eV/f.u. For the magnetic moment, the calculation gives 0.0 μB/f.u. The value obtained for the volume is 41.63 A^3/atom. The density of states at the Fermi level is 5.62 states/eV/cell. The value obtained for the energy above the most stable polymorph in this dataset is 0.00 eV per formula unit.

---

No. 3
Entry from Alexandria: a relaxed Cs3SbSe4 crystal (GGA-PBE).

The structure belongs to space group Imm2 (No. 44); the cell edges are 7.6465, 11.0350 and 8.4687 Å and the angles 90.00°, 90.00° and 90.00°. Symmetry generates all atoms from Cs at (0.0000, 0.0000, 0.0000), Cs at (0.0000, 0.2483, 0.5970), Sb at (0.0000, 0.5000, 0.0178), Se at (0.0000, 0.3110, 0.1835) and Se at (0.2298, 0.0000, 0.3517).

As for the formation energy (no corrections): -6.62 eV/f.u. For the magnetic moment, the calculation gives 0.0 μB/f.u. The value obtained for the volume is 44.66 A^3/atom.

---

No. 4
Entry from Alexandria: a relaxed CsSbSe3 crystal (GGA-PBE).

The structure belongs to space group Pm-3m (No. 221); the cell edges are 5.7652, 5.7652 and 5.7652 Å and the angles 90.00°, 90.00° and 90.00°. Symmetry generates all atoms from Cs at (0.0000, 0.0000, 0.0000), Sb at (0.5000, 0.5000, 0.5000) and Se at (0.0000, 0.0000, 0.5000).

As for the formation energy (no corrections): 5.93 eV/f.u. For the magnetic moment, the calculation gives 0.0 μB/f.u. The value obtained for the volume is 38.32 A^3/atom. The density of states at the Fermi level is 7.47 states/eV/cell. The value obtained for the energy above the most stable polymorph in this dataset is 8.50 eV per formula unit.

---

No. 5
Entry from Alexandria: a relaxed Cs4SbSe4 crystal (GGA-PBE).

The structure belongs to space group I-42m (No. 121); the cell edges are 8.5257, 8.5257 and 14.3995 Å and the angles 90.00°, 90.00° and 90.00°. Symmetry generates all atoms from Cs at (0.0000, 0.0000, 0.2007), Cs at (0.0000, 0.5000, 0.0000), Sb at (0.0000, 0.0000, 0.5000) and Se at (0.1789, 0.1789, 0.3909).

As for the formation energy (no corrections): -7.83 eV/f.u. For the magnetic moment, the calculation gives 0.6 μB/f.u. The value obtained for the volume is 58.15 A^3/atom. The density of states at the Fermi level is 10.64 states/eV/cell. The value obtained for the energy above the most stable polymorph in this dataset is 0.00 eV per formula unit.

---

No. 6
Entry from Alexandria: a relaxed Cs3Sb2Se4 crystal (GGA-PBE).

The structure belongs to space group C2/m (No. 12); the cell edges are 14.9025, 5.2053 and 10.6363 Å and the angles 90.00°, 113.07° and 90.00°. Symmetry generates all atoms from Cs at (0.0000, 0.0000, 0.0000), Cs at (0.1324, 0.5000, 0.7195), Sb at (0.1707, 0.5000, 0.3448), Se at (0.1088, 0.0000, 0.3744) and Se at (0.1879, 0.5000, 0.1162).

As for the formation energy (no corrections): -6.31 eV/f.u. For the magnetic moment, the calculation gives 0.0 μB/f.u. The value obtained for the volume is 42.17 A^3/atom. The density of states at the Fermi level is 9.45 states/eV/cell. The value obtained for the energy above the most stable polymorph in this dataset is 0.75 eV per formula unit.

---

No. 7
Entry from Alexandria: a relaxed CsSb5Se8 crystal (GGA-PBE).

The structure belongs to space group C2/m (No. 12); the cell edges are 21.2817, 4.1160 and 10.4207 Å and the angles 90.00°, 103.87° and 90.00°. Symmetry generates all atoms from Cs at (0.0000, 0.0000, 0.0000), Sb at (0.0000, 0.5000, 0.5000), Sb at (0.1570, 0.0000, 0.4727), Sb at (0.2064, 0.0000, 0.8424), Se at (0.0758, 0.0000, 0.6578), Se at (0.0848, 0.5000, 0.3199), Se at (0.1670, 0.5000, 0.9964) and Se at (0.2353, 0.5000, 0.6605).

As for the formation energy (no corrections): -5.41 eV/f.u. For the magnetic moment, the calculation gives 0.0 μB/f.u. The value obtained for the volume is 31.65 A^3/atom. The density of states at the Fermi level is 0.97 states/eV/cell.

---

No. 8
Entry from Alexandria: a relaxed Cs2SbSe crystal (GGA-PBE).

The structure belongs to space group I-42d (No. 122); the cell edges are 12.7419, 12.7419 and 5.6618 Å and the angles 90.00°, 90.00° and 90.00°. Symmetry generates all atoms from Cs at (0.0935, 0.2500, 0.1250), Sb at (0.0000, 0.0000, 0.5000) and Se at (0.0000, 0.0000, 0.0000).

As for the formation energy (no corrections): -1.89 eV/f.u. For the magnetic moment, the calculation gives 0.0 μB/f.u. The value obtained for the volume is 57.45 A^3/atom. The density of states at the Fermi level is 19.85 states/eV/cell. The value obtained for the energy above the most stable polymorph in this dataset is 0.00 eV per formula unit.

---

No. 9
Entry from Alexandria: a relaxed Cs3SbSe4 crystal (GGA-PBE).

The structure belongs to space group Pnma (No. 62); the cell edges are 10.3968, 12.1492 and 10.8633 Å and the angles 90.00°, 90.00° and 90.00°. Symmetry generates all atoms from Cs at (0.0582, 0.0436, 0.1971), Cs at (0.1459, 0.7500, 0.4210), Sb at (0.2312, 0.7500, 0.9778), Se at (0.0168, 0.7500, 0.0875), Se at (0.1463, 0.0775, 0.5314) and Se at (0.1907, 0.7500, 0.7495).

As for the formation energy (no corrections): -7.28 eV/f.u. For the magnetic moment, the calculation gives 0.0 μB/f.u. The value obtained for the volume is 42.88 A^3/atom.

---

No. 10
Entry from Alexandria: a relaxed CsSbSe2 crystal (GGA-PBE).

The structure belongs to space group Cm (No. 8); the cell edges are 15.8143, 4.1327 and 4.6016 Å and the angles 90.00°, 93.15° and 90.00°. Symmetry generates all atoms from Cs at (0.0000, 0.0000, 0.0000), Sb at (0.2465, 0.0000, 0.7593), Se at (0.1540, 0.5000, 0.5072) and Se at (0.3752, 0.0000, 0.4689).

As for the formation energy (no corrections): -2.47 eV/f.u. For the magnetic moment, the calculation gives 0.0 μB/f.u. The value obtained for the volume is 37.54 A^3/atom.

---

No. 11
Entry from Alexandria: a relaxed CsSb2Se2 crystal (GGA-PBE).

The structure belongs to space group I4/mmm (No. 139); the cell edges are 5.7175, 5.7175 and 10.2212 Å and the angles 90.00°, 90.00° and 90.00°. Symmetry generates all atoms from Cs at (0.0000, 0.0000, 0.0000), Sb at (0.0000, 0.0000, 0.3471) and Se at (0.0000, 0.5000, 0.2500).

As for the formation energy (no corrections): -1.49 eV/f.u. For the magnetic moment, the calculation gives 0.0 μB/f.u. The value obtained for the volume is 33.41 A^3/atom. The density of states at the Fermi level is 5.95 states/eV/cell. The value obtained for the energy above the most stable polymorph in this dataset is 0.22 eV per formula unit.

---

No. 12
Entry from Alexandria: a relaxed CsSbSe2 crystal (GGA-PBE).

The structure belongs to space group P1 (No. 1); the cell edges are 5.6881, 5.7094 and 10.1215 Å and the angles 87.26°, 89.98° and 89.99°. Symmetry generates all atoms from Cs at (0.0000, 0.0000, 0.0000), Cs at (0.4998, 0.4610, 0.3674), Sb at (0.4810, 0.5075, 0.7594), Sb at (0.9808, 0.9516, 0.6081), Se at (0.4540, 0.9720, 0.6821), Se at (0.4972, 0.5075, 0.0076), Se at (0.9541, 0.4869, 0.6852) and Se at (0.9969, 0.9523, 0.3599).

As for the formation energy (no corrections): -2.79 eV/f.u. For the magnetic moment, the calculation gives 0.0 μB/f.u. The value obtained for the volume is 41.04 A^3/atom.